The following is a SCAN calculation of a crystal of CaAu2 relaxed with PBEsol, from Alexandria.

Values from the calculation:
* mass density: 11127 kg/m3
* symmetry: Imma
* energy of formation: -0.861 eV per atom

Unit cell a=4.542 b=5.837 c=5.837 alpha=73.10 beta=67.10 gamma=67.10
Atoms (fractional coordinates):
Ca 0.456 0.294 0.794
Au 0.840 0.702 0.619
Au 0.840 0.119 0.202
Ca 0.544 0.706 0.206
Au 0.160 0.881 0.798
Au 0.160 0.298 0.381

***

The following is a SCAN calculation of a crystal of ZnPb3W relaxed with PBEsol, from Alexandria.

Values from the calculation:
* mass density: 9477 kg/m3
* symmetry: Pm-3m
* energy of formation: 0.651 eV per atom

Unit cell a=5.344 b=5.344 c=5.344 alpha=90.00 beta=90.00 gamma=90.00
Atoms (fractional coordinates):
Pb 0.500 0.000 0.000
Pb 0.000 0.500 0.000
Pb 0.000 0.000 0.500
Zn 0.500 0.500 0.500
W 0.000 0.000 0.000